A plane-wave DFT calculation with PBE was carried out for an optimized crystal structure of Pm6Sm16Ho7.

Summary:
The formation energy comes out at 215 meV per atom. The calculation puts the mass density at 7.3 Mg/m³. The volume is 1013 Å³/cell. Its space group is Fm-3m.

```
data_Pm6Sm16Ho7
_cell_length_a 11.2716
_cell_length_b 11.2716
_cell_length_c 11.2716
_cell_angle_alpha 60.00
_cell_angle_beta 60.00
_cell_angle_gamma 60.00
_symmetry_space_group_name_H-M 'P 1'
_symmetry_Int_Tables_number 1
_symmetry_space_group_name_Hall 'P 1'
loop_
_atom_site_label
_atom_site_fract_x
_atom_site_fract_y
_atom_site_fract_z
Pm1 0.2267 0.2267 0.7733
Pm2 0.2267 0.7733 0.2267
Pm3 0.2267 0.7733 0.7733
Pm4 0.7733 0.2267 0.2267
Pm5 0.7733 0.2267 0.7733
Pm6 0.7733 0.7733 0.2267
Sm1 0.1242 0.6253 0.6253
Sm2 0.1510 0.1510 0.1510
Sm3 0.1510 0.1510 0.5470
Sm4 0.1510 0.5470 0.1510
Sm5 0.3747 0.3747 0.3747
Sm6 0.3747 0.3747 0.8758
Sm7 0.3747 0.8758 0.3747
Sm8 0.4530 0.8490 0.8490
Sm9 0.5470 0.1510 0.1510
Sm10 0.6253 0.1242 0.6253
Sm11 0.6253 0.6253 0.1242
Sm12 0.6253 0.6253 0.6253
Sm13 0.8490 0.4530 0.8490
Sm14 0.8490 0.8490 0.4530
Sm15 0.8490 0.8490 0.8490
Sm16 0.8758 0.3747 0.3747
Ho1 0.0000 0.0000 0.5000
Ho2 0.0000 0.5000 0.0000
Ho3 0.0000 0.5000 0.5000
Ho4 0.5000 0.0000 0.0000
Ho5 0.5000 0.0000 0.5000
Ho6 0.5000 0.5000 0.0000
Ho7 0.5000 0.5000 0.5000
```

---

A plane-wave DFT calculation with PBE was carried out for an optimized crystal structure of Pm5Sm2Ho2.

Summary:
The formation energy comes out at 16 meV per atom. The calculation puts the mass density at 7.5 Mg/m³. As for the energy above the lowest structure with this stoichiometry: 0.0000 eV per atom. The volume is 301 Å³/cell. Its space group is P-1.

```
data_Pm5Sm2Ho2
_cell_length_a 6.2571
_cell_length_b 6.2575
_cell_length_c 9.5839
_cell_angle_alpha 108.93
_cell_angle_beta 90.06
_cell_angle_gamma 120.00
_symmetry_space_group_name_H-M 'P 1'
_symmetry_Int_Tables_number 1
_symmetry_space_group_name_Hall 'P 1'
loop_
_atom_site_label
_atom_site_fract_x
_atom_site_fract_y
_atom_site_fract_z
Pm1 0.0000 0.0000 0.0000
Pm2 0.1118 0.5563 0.3344
Pm3 0.2228 0.1112 0.6664
Pm4 0.7772 0.8888 0.3336
Pm5 0.8882 0.4437 0.6656
Sm1 0.3338 0.6674 0.9999
Sm2 0.6662 0.3326 0.0001
Ho1 0.4451 0.2234 0.3341
Ho2 0.5549 0.7766 0.6659
```

---

A plane-wave DFT calculation with PBE was carried out for an optimized crystal structure of Pm7SmHo3.

Summary:
The formation energy comes out at 187 meV per atom. The calculation puts the mass density at 7.1 Mg/m³. As for the energy above the lowest structure with this stoichiometry: 0.0543 eV per atom. The volume is 387 Å³/cell. Its space group is P3m1.

```
data_Pm7SmHo3
_cell_length_a 7.1843
_cell_length_b 7.1843
_cell_length_c 8.6687
_cell_angle_alpha 90.00
_cell_angle_beta 90.00
_cell_angle_gamma 120.00
_symmetry_space_group_name_H-M 'P 1'
_symmetry_Int_Tables_number 1
_symmetry_space_group_name_Hall 'P 1'
loop_
_atom_site_label
_atom_site_fract_x
_atom_site_fract_y
_atom_site_fract_z
Pm1 0.0000 0.0000 0.0000
Pm2 0.0014 0.5007 0.0128
Pm3 0.3319 0.1660 0.6671
Pm4 0.4993 0.5007 0.0128
Pm5 0.4993 0.9986 0.0128
Pm6 0.8340 0.1660 0.6671
Pm7 0.8340 0.6681 0.6671
Sm1 0.3333 0.6667 0.6797
Ho1 0.1668 0.3336 0.3402
Ho2 0.1668 0.8332 0.3402
Ho3 0.6664 0.8332 0.3402
```

---

A plane-wave DFT calculation with PBE was carried out for an optimized crystal structure of PmSm2Ho9.

Summary:
The formation energy comes out at 21 meV per atom. The calculation puts the mass density at 8.4 Mg/m³. As for the energy above the lowest structure with this stoichiometry: 0.0000 eV per atom. The volume is 380 Å³/cell. Its space group is P4/mmm.

```
data_PmSm2Ho9
_cell_length_a 5.0207
_cell_length_b 5.0207
_cell_length_c 15.0679
_cell_angle_alpha 90.00
_cell_angle_beta 90.00
_cell_angle_gamma 90.00
_symmetry_space_group_name_H-M 'P 1'
_symmetry_Int_Tables_number 1
_symmetry_space_group_name_Hall 'P 1'
loop_
_atom_site_label
_atom_site_fract_x
_atom_site_fract_y
_atom_site_fract_z
Pm1 0.0000 0.0000 0.0000
Sm1 0.0000 0.0000 0.3335
Sm2 0.0000 0.0000 0.6665
Ho1 0.0000 0.5000 0.1670
Ho2 0.0000 0.5000 0.5000
Ho3 0.0000 0.5000 0.8330
Ho4 0.5000 0.0000 0.1670
Ho5 0.5000 0.0000 0.5000
Ho6 0.5000 0.0000 0.8330
Ho7 0.5000 0.5000 0.0000
Ho8 0.5000 0.5000 0.3336
Ho9 0.5000 0.5000 0.6664
```

---

A plane-wave DFT calculation with PBE was carried out for an optimized crystal structure of Pm3SmHo.

Summary:
The formation energy comes out at 191 meV per atom. The calculation puts the mass density at 7.3 Mg/m³. As for the energy above the lowest structure with this stoichiometry: 0.1768 eV per atom. The volume is 341 Å³/cell. Its space group is C2/m.

```
data_Pm3SmHo
_cell_length_a 9.4070
_cell_length_b 9.4070
_cell_length_c 6.0680
_cell_angle_alpha 108.70
_cell_angle_beta 108.70
_cell_angle_gamma 42.53
_symmetry_space_group_name_H-M 'P 1'
_symmetry_Int_Tables_number 1
_symmetry_space_group_name_Hall 'P 1'
loop_
_atom_site_label
_atom_site_fract_x
_atom_site_fract_y
_atom_site_fract_z
Pm1 0.0805 0.6136 0.5974
Pm2 0.2734 0.2734 0.0240
Pm3 0.3864 0.9195 0.4026
Pm4 0.6136 0.0805 0.5974
Pm5 0.7266 0.7266 0.9760
Pm6 0.9195 0.3864 0.4026
Sm1 0.5000 0.5000 0.0000
Sm2 0.5000 0.5000 0.5000
Ho1 0.0511 0.0511 0.8009
Ho2 0.9489 0.9489 0.1991
```

---

A plane-wave DFT calculation with PBE was carried out for an optimized crystal structure of Pm2SmHo3.

Summary:
The formation energy comes out at 101 meV per atom. The calculation puts the mass density at 7.9 Mg/m³. As for the energy above the lowest structure with this stoichiometry: 0.0000 eV per atom. The volume is 394 Å³/cell. Its space group is C2/m.

```
data_Pm2SmHo3
_cell_length_a 8.9540
_cell_length_b 8.9540
_cell_length_c 10.0801
_cell_angle_alpha 122.66
_cell_angle_beta 122.66
_cell_angle_gamma 36.31
_symmetry_space_group_name_H-M 'P 1'
_symmetry_Int_Tables_number 1
_symmetry_space_group_name_Hall 'P 1'
loop_
_atom_site_label
_atom_site_fract_x
_atom_site_fract_y
_atom_site_fract_z
Pm1 0.0128 0.0128 0.3612
Pm2 0.2726 0.2726 0.6288
Pm3 0.7274 0.7274 0.3712
Pm4 0.9872 0.9872 0.6388
Sm1 0.3660 0.3660 0.3614
Sm2 0.6340 0.6340 0.6386
Ho1 0.1123 0.1123 0.1552
Ho2 0.2061 0.2061 0.9229
Ho3 0.4503 0.4503 0.1040
Ho4 0.5497 0.5497 0.8960
Ho5 0.7939 0.7939 0.0771
Ho6 0.8877 0.8877 0.8448
```

---

A plane-wave DFT calculation with PBE was carried out for an optimized crystal structure of PmSm9Ho2.

Summary:
The formation energy comes out at 18 meV per atom. The calculation puts the mass density at 7.6 Mg/m³. The volume is 399 Å³/cell. Its space group is P4/mmm.

```
data_PmSm9Ho2
_cell_length_a 5.1064
_cell_length_b 5.1064
_cell_length_c 15.3169
_cell_angle_alpha 90.00
_cell_angle_beta 90.00
_cell_angle_gamma 90.00
_symmetry_space_group_name_H-M 'P 1'
_symmetry_Int_Tables_number 1
_symmetry_space_group_name_Hall 'P 1'
loop_
_atom_site_label
_atom_site_fract_x
_atom_site_fract_y
_atom_site_fract_z
Pm1 0.0000 0.0000 0.0000
Sm1 0.0000 0.5000 0.1684
Sm2 0.0000 0.5000 0.5000
Sm3 0.0000 0.5000 0.8316
Sm4 0.5000 0.0000 0.1684
Sm5 0.5000 0.0000 0.5000
Sm6 0.5000 0.0000 0.8316
Sm7 0.5000 0.5000 0.0000
Sm8 0.5000 0.5000 0.3347
Sm9 0.5000 0.5000 0.6653
Ho1 0.0000 0.0000 0.3343
Ho2 0.0000 0.0000 0.6657
```

---

A plane-wave DFT calculation with PBE was carried out for an optimized crystal structure of Pm7Sm2Ho.

Summary:
The formation energy comes out at 639 meV per atom. The calculation puts the mass density at 6.0 Mg/m³. As for the energy above the lowest structure with this stoichiometry: 0.2555 eV per atom. The volume is 407 Å³/cell. Its space group is Cmmm.

```
data_Pm7Sm2Ho
_cell_length_a 9.6429
_cell_length_b 9.6429
_cell_length_c 5.4251
_cell_angle_alpha 90.00
_cell_angle_beta 90.00
_cell_angle_gamma 126.21
_symmetry_space_group_name_H-M 'P 1'
_symmetry_Int_Tables_number 1
_symmetry_space_group_name_Hall 'P 1'
loop_
_atom_site_label
_atom_site_fract_x
_atom_site_fract_y
_atom_site_fract_z
Pm1 0.0000 0.0000 0.0000
Pm2 0.2110 0.4289 0.0000
Pm3 0.2948 0.7052 0.5000
Pm4 0.4289 0.2110 0.0000
Pm5 0.5711 0.7890 0.0000
Pm6 0.7052 0.2948 0.5000
Pm7 0.7890 0.5711 0.0000
Sm1 0.2051 0.7949 0.0000
Sm2 0.7949 0.2051 0.0000
Ho1 0.5000 0.5000 0.5000
```

---

no.,raw total energy (eV/atom)
1,-4.48
2,-4.69
3,-4.51
4,-4.59
5,-4.52
6,-4.56
7,-4.68
8,-4.09